## A
PBE NdHoOs, relaxed; calculated volume = 26.62 A^3/atom; symmetry = P2_1/c (14)
1.0
7.3449 0.0000 0.0000
0.0000 5.9347 0.0000
-2.5393 0.0000 7.3276
Nd Ho Os
4 4 4
Cartesian
0.1509 1.0647 1.3450
-1.1187 1.9027 5.0088
5.9244 4.0320 2.3188
4.6547 4.8700 5.9827
2.4590 3.7120 1.0391
1.1894 5.1901 4.7029
3.6162 0.7446 2.6247
2.3466 2.2228 6.2885
2.6119 0.6562 0.0094
1.3422 2.3112 3.6733
3.4634 3.6235 3.6544
2.1937 5.2786 7.3182

---

## B
PBE NdHoOs, relaxed; calculated volume = 26.78 A^3/atom; symmetry = F-43m (216)
1.0
0.0000 3.4249 3.4249
3.4249 0.0000 3.4249
3.4249 3.4249 0.0000
Nd Ho Os
1 1 1
Cartesian
0.0000 0.0000 0.0000
3.4249 3.4249 3.4249
5.1374 5.1374 5.1374

---

The structure with the greatest stability is A.

---

## A
PBE NdHo2Os, relaxed; calculated volume = 27.01 A^3/atom; symmetry = P4/mmm (123)
1.0
3.4128 0.0000 0.0000
0.0000 3.4128 0.0000
0.0000 0.0000 9.2758
Nd Ho Os
1 2 1
Cartesian
0.0000 0.0000 0.0000
1.7064 1.7064 2.9974
1.7064 1.7064 6.2785
0.0000 0.0000 4.6379

---

## B
PBE NdHo2Os, relaxed; calculated volume = 27.21 A^3/atom; symmetry = Pnma (62)
1.0
7.4644 0.0000 0.0000
0.0000 9.0916 0.0000
0.0000 0.0000 6.4143
Nd Ho Os
4 8 4
Cartesian
0.2942 2.2729 0.8244
3.4380 6.8187 4.0315
4.0264 2.2729 2.3828
7.1702 6.8187 5.5900
1.2984 0.5863 4.2584
1.2984 3.9595 4.2584
2.4338 5.1321 1.0512
2.4338 8.5054 1.0512
5.0306 0.5863 5.3631
5.0306 3.9595 5.3631
6.1660 5.1321 2.1560
6.1660 8.5054 2.1560
0.8670 6.8187 2.8768
2.8652 2.2729 6.0839
4.5992 6.8187 0.3304
6.5974 2.2729 3.5376

---

## C
PBE NdHo2Os, relaxed; calculated volume = 28.47 A^3/atom; symmetry = R-3m (166)
1.0
1.7318 0.9999 10.9626
-1.7318 0.9999 10.9626
0.0000 -1.9997 10.9626
Nd Ho Os
1 2 1
Cartesian
0.0000 0.0000 0.0000
0.0000 0.0000 3.5166
0.0000 0.0000 29.3710
0.0000 0.0000 16.4438

---

The structure with the greatest stability is B.

---

## A
PBE NdHo2Pa, relaxed; calculated volume = 30.56 A^3/atom; symmetry = R-3m (166)
1.0
1.7036 0.9836 12.1573
-1.7036 0.9836 12.1573
0.0000 -1.9672 12.1573
Nd Ho Pa
1 2 1
Cartesian
0.0000 0.0000 0.0000
0.0000 0.0000 3.3961
0.0000 0.0000 33.0759
0.0000 0.0000 18.2360

---

## B
PBE NdHo2Pa, relaxed; calculated volume = 29.78 A^3/atom; symmetry = R3m (160)
1.0
1.7212 0.9938 11.6066
-1.7212 0.9938 11.6066
0.0000 -1.9875 11.6066
Nd Ho Pa
1 2 1
Cartesian
0.0000 0.0000 0.0000
0.0000 0.0000 14.6485
0.0000 0.0000 20.1851
0.0000 0.0000 29.0337

---

The structure with the greatest stability is B.

---

## A
PBE Nd3HoPb2, relaxed; calculated volume = 32.15 A^3/atom; symmetry = P-4m2 (115)
1.0
4.6677 0.0000 0.0000
0.0000 4.6677 0.0000
0.0000 0.0000 8.8547
Nd Ho Pb
3 1 2
Cartesian
0.0000 0.0000 0.0000
0.0000 2.3338 5.7931
2.3338 0.0000 3.0615
2.3338 2.3338 0.0000
0.0000 2.3338 2.4886
2.3338 0.0000 6.3661

---

## B
PBE Nd3HoPb2, relaxed; calculated volume = 30.89 A^3/atom; symmetry = Cmmm (65)
1.0
2.4976 -8.2105 0.0000
2.4976 8.2105 0.0000
0.0000 0.0000 4.5192
Nd Ho Pb
3 1 2
Cartesian
0.0000 0.0000 0.0000
2.4976 2.8939 0.0000
2.4976 -2.8939 0.0000
2.4976 0.0000 2.2596
2.4976 5.7624 2.2596
2.4976 -5.7624 2.2596

---

The structure with the greatest stability is A.

---

## A
PBE Nd2HoPb3, relaxed; calculated volume = 29.38 A^3/atom; symmetry = Cmmm (65)
1.0
2.5122 -7.6695 0.0000
2.5122 7.6695 0.0000
0.0000 0.0000 9.1478
Nd Ho Pb
4 2 6
Cartesian
0.0000 0.0000 0.0000
0.0000 0.0000 4.5739
2.5122 2.5595 0.0000
2.5122 -2.5595 0.0000
2.5122 2.5817 4.5739
2.5122 -2.5817 4.5739
2.5122 5.0902 2.3372
2.5122 5.0902 6.8106
2.5122 0.0000 2.3288
2.5122 0.0000 6.8190
2.5122 -5.0902 2.3372
2.5122 -5.0902 6.8106

---

## B
PBE Nd2HoPb3, relaxed; calculated volume = 30.88 A^3/atom; symmetry = C2/c (15)
1.0
4.7716 -7.3069 0.0000
4.7716 7.3069 0.0000
-2.5985 0.0000 5.3137
Nd Ho Pb
4 2 6
Cartesian
2.8227 6.1060 3.9853
4.1220 3.6886 1.3284
2.8227 -3.6886 3.9853
4.1220 -6.1060 1.3284
2.8227 1.2336 3.9853
4.1220 -1.2336 1.3284
1.0866 3.6535 2.6568
-0.1265 1.1826 5.2753
1.1727 -1.1826 2.6185
2.3858 -3.6535 0.0000
5.7720 1.1826 2.6952
7.0712 -1.1826 0.0384

---

The structure with the greatest stability is A.

---

## A
PBE NdHoTlPb, relaxed; calculated volume = 28.97 A^3/atom; symmetry = F-43m (216)
1.0
0.0000 3.8695 3.8695
3.8695 0.0000 3.8695
3.8695 3.8695 0.0000
Nd Ho Tl Pb
1 1 1 1
Cartesian
0.0000 0.0000 0.0000
3.8695 3.8695 3.8695
1.9348 1.9348 1.9348
5.8043 5.8043 5.8043

---

## B
PBE NdHoTlPb, relaxed; calculated volume = 28.67 A^3/atom; symmetry = I-4m2 (119)
1.0
-2.5333 2.5333 4.4669
2.5333 -2.5333 4.4669
2.5333 2.5333 -4.4669
Nd Ho Tl Pb
1 1 1 1
Cartesian
0.0000 0.0000 0.0000
0.0000 0.0000 4.4669
0.0000 2.5333 2.2335
2.5333 0.0000 2.2335

---

The structure with the greatest stability is B.

---

## A
PBE NdHo3Pd, relaxed; calculated volume = 32.48 A^3/atom; symmetry = Pm-3m (221)
1.0
5.4558 0.0000 0.0000
0.0000 5.4558 0.0000
0.0000 0.0000 5.4558
Nd Ho Pd
1 3 1
Cartesian
0.0000 0.0000 0.0000
0.0000 2.7279 2.7279
2.7279 0.0000 2.7279
2.7279 2.7279 0.0000
2.7279 2.7279 2.7279

---

## B
PBE NdHo3Pd, relaxed; calculated volume = 28.52 A^3/atom; symmetry = C2/c (15)
1.0
7.1893 -6.6356 0.0000
7.1893 6.6356 0.0000
-1.2771 0.0000 5.9785
Nd Ho Pd
4 12 4
Cartesian
6.2315 5.7032 4.4839
6.8700 3.9613 1.4946
6.2315 -3.9613 4.4839
6.8700 -5.7032 1.4946
3.2561 3.8732 4.6196
2.0347 0.7452 4.3007
2.6732 -0.7452 1.3114
5.2539 1.2139 3.0668
9.2069 3.8732 4.3481
7.2090 1.2139 5.9010
5.8924 -1.2139 0.0775
3.8946 -3.8732 1.6304
7.8476 -1.2139 2.9117
10.4283 0.7452 4.6670
11.0668 -0.7452 1.6778
9.8454 -3.8732 1.3589
5.4336 1.5758 0.1099
4.7950 -1.5758 3.0991
8.3065 1.5758 2.8794
7.6679 -1.5758 5.8686

---

The structure with the greatest stability is B.

---

## A
PBE NdHoPd, relaxed; calculated volume = 28.76 A^3/atom; symmetry = F-43m (216)
1.0
0.0000 3.5073 3.5073
3.5073 0.0000 3.5073
3.5073 3.5073 0.0000
Nd Ho Pd
1 1 1
Cartesian
0.0000 0.0000 0.0000
3.5073 3.5073 3.5073
5.2609 5.2609 5.2609

---

## B
PBE NdHoPd, relaxed; calculated volume = 26.45 A^3/atom; symmetry = P3m1 (156)
1.0
4.7915 0.0000 0.0000
-2.3958 4.1496 0.0000
0.0000 0.0000 3.9903
Nd Ho Pd
1 1 1
Cartesian
0.0000 0.0000 0.0000
0.0000 2.7664 1.8812
2.3958 1.3832 2.5800

---

## C
PBE NdHoPd, relaxed; calculated volume = 27.92 A^3/atom; symmetry = P2_1/c (14)
1.0
6.7277 0.0000 0.0000
0.0000 7.0838 0.0000
-4.7787 0.0000 7.0303
Nd Ho Pd
4 4 4
Cartesian
-0.4538 1.1552 3.0825
-2.8432 2.3867 6.5977
4.7921 4.6971 0.4327
2.4028 5.9286 3.9479
-1.0414 4.6482 4.0102
1.3479 5.9774 0.4951
0.6010 1.1063 6.5353
2.9904 2.4356 3.0201
0.6746 3.7458 1.9855
-1.7148 6.8798 5.5007
3.6637 0.2040 1.5296
1.2744 3.3379 5.0448

---

The structure with the greatest stability is C.

---

## A
PBE NdHoPd, relaxed; calculated volume = 28.85 A^3/atom; symmetry = C2/m (12)
1.0
6.9959 -1.8050 0.0000
6.9959 1.8050 0.0000
-1.3479 0.0000 6.8549
Nd Ho Pd
2 2 2
Cartesian
1.9334 0.0000 0.3635
10.7104 0.0000 6.4915
4.5326 0.0000 3.0226
8.1112 0.0000 3.8323
-0.3605 0.0000 2.0800
13.0043 0.0000 4.7749

---

## B
PBE NdHoPd, relaxed; calculated volume = 26.72 A^3/atom; symmetry = P-1 (2)
1.0
3.5968 0.0000 0.0000
-1.7963 6.4192 0.0000
-0.0022 -2.1107 6.9439
Nd Ho Pd
2 2 2
Cartesian
0.0022 1.6357 0.4773
1.7961 2.6728 6.4666
-0.0017 0.5635 3.9404
1.8000 3.7450 3.0035
0.0013 5.7836 1.9093
1.7970 -1.4751 5.0346

---

The structure with the greatest stability is B.

---

## A
PBE Nd2HoPd, relaxed; calculated volume = 28.78 A^3/atom; symmetry = P4/mmm (123)
1.0
3.7034 0.0000 0.0000
0.0000 3.7034 0.0000
0.0000 0.0000 8.3921
Nd Ho Pd
2 1 1
Cartesian
0.0000 0.0000 1.7236
0.0000 0.0000 6.6685
1.8517 1.8517 4.1960
1.8517 1.8517 0.0000

---

## B
PBE Nd2HoPd, relaxed; calculated volume = 30.55 A^3/atom; symmetry = R3m (160)
1.0
1.9126 1.1043 9.6428
-1.9126 1.1043 9.6428
0.0000 -2.2085 9.6428
Nd Ho Pd
2 1 1
Cartesian
0.0000 0.0000 0.0000
0.0000 0.0000 5.7671
0.0000 0.0000 12.5183
0.0000 0.0000 17.3539

---

## C
PBE Nd2HoPd, relaxed; calculated volume = 28.99 A^3/atom; symmetry = Cmcm (63)
1.0
1.9324 -6.0588 0.0000
1.9324 6.0588 0.0000
0.0000 0.0000 9.9031
Nd Ho Pd
4 2 2
Cartesian
1.9324 4.4201 5.5463
1.9324 4.4201 9.3084
1.9324 -4.4201 0.5948
1.9324 -4.4201 4.3568
1.9324 0.9150 7.4273
1.9324 -0.9150 2.4758
1.9324 2.8795 2.4758
1.9324 -2.8795 7.4273

---

## D
PBE Nd2HoPd, relaxed; calculated volume = 28.57 A^3/atom; symmetry = Cm (8)
1.0
2.5534 -2.5630 0.0000
2.5534 2.5630 0.0000
-0.0146 0.0000 8.7321
Nd Ho Pd
2 1 1
Cartesian
0.0000 0.0000 0.0000
2.5514 0.0000 2.6789
2.5406 0.0000 6.0863
5.0958 0.0000 4.5905

---

The structure with the greatest stability is C.